1.
Hf9Mo4Se | GGA-PBEsol | optimized geometry

Structure (extended XYZ):
```
28
Lattice="-8.2874 0.9511 -1.8079 1.6485 -1.4276 -8.3078 -1.8879 -6.5742 5.1952" Properties=species:S:1:pos:R:3 pbc="T T T"
Hf -3.5569 -1.9147 -6.6553
Mo -6.6094 -6.2545 -3.2162
Hf -4.2395 -1.3235 -3.2155
Hf -0.8856 -6.1175 -0.9629
Se -5.7458 -2.4298 -5.1627
Mo -6.4488 -0.8849 -1.1276
Hf -1.3354 -1.0776 -4.5199
Hf -0.7865 -2.8043 0.3258
Hf -4.2872 -5.7271 -1.7050
Hf -4.3386 -4.6368 -4.5042
Hf -7.1013 -2.9629 0.7704
Mo -4.1437 0.4756 -0.9040
Mo 0.0000 0.0000 0.0000
Hf -6.9585 -1.5243 -7.3974
Hf -4.1881 -2.4139 -0.4162
Mo -7.7156 -5.2965 2.3587
Hf -1.5682 -5.5264 2.4769
Hf -6.4811 -3.5000 -2.3550
Hf -4.9698 -5.1360 1.7349
Mo -0.8111 -1.7542 -7.2791
Se -2.7809 -4.6209 0.2422
Hf -2.0456 -3.5507 -2.5655
Hf -7.7402 -4.2464 -5.2463
Mo -2.0779 -6.1658 -3.7929
Mo -1.9173 -0.7962 -1.7042
Hf -1.4254 -4.0878 -5.6908
Hf -7.1913 -5.9731 -0.4006
Hf -7.6411 -0.9331 -3.9575
```

Properties
Crystal system: hexagonal
Final energy (eV/atom): -10.647
Symmetry: No. 194
Density of states at the Fermi level (states/eV/atom): 0.74



2.
Cs3InF | GGA-PBEsol | optimized geometry

Structure (extended XYZ):
```
5
Lattice="-3.2195 -0.5101 4.9502 2.3025 -5.3795 0.9432 4.4117 2.4354 3.1203" Properties=species:S:1:pos:R:3 pbc="T T T"
Cs 1.1513 -2.6897 0.4716
Cs -1.6098 -0.2550 2.4751
F 0.0000 0.0000 0.0000
Cs 2.2058 1.2177 1.5601
In 1.7473 -1.7271 4.5068
```

Properties
Crystal system: cubic
Final energy (eV/atom): -2.538
Symmetry: No. 221
Density of states at the Fermi level (states/eV/atom): 0.97



3.
CuTc2Mo | GGA-PBEsol | optimized geometry

Structure (extended XYZ):
```
4
Lattice="2.5818 0.0000 -0.0140 0.0000 4.2959 0.0000 -0.8184 0.0000 5.0002" Properties=species:S:1:pos:R:3 pbc="T T T"
Cu 1.2909 2.1480 -0.0070
Tc 0.3695 0.0000 1.2014
Mo -0.4092 2.1480 2.5001
Tc 1.3939 0.0000 3.7847
```

Properties
Crystal system: monoclinic
Final energy (eV/atom): -9.435
Symmetry: No. 10
Relative energy among the computed polymorphs (meV per atom): 11
Formation enthalpy at 0 K (meV per atom): 224
Density of states at the Fermi level (states/eV/atom): 0.82



4.
ZnCd2Te | GGA-PBEsol | optimized geometry

Structure (extended XYZ):
```
4
Lattice="-2.0267 0.9841 -2.1530 -1.9779 -2.2581 0.8369 -3.7757 5.5676 6.0990" Properties=species:S:1:pos:R:3 pbc="T T T"
Cd -0.7604 1.1213 1.2283
Te -3.8901 2.1468 2.3914
Cd -3.0153 4.4463 4.8707
Zn -2.0023 -0.6370 -0.6581
```

Properties
Crystal system: tetragonal
Final energy (eV/atom): -1.753
Symmetry: No. 123
Relative energy among the computed polymorphs (meV per atom): 0
Density of states at the Fermi level (states/eV/atom): 0.33



5.
La2TlCl | GGA-PBEsol | optimized geometry

Structure (extended XYZ):
```
4
Lattice="4.1630 0.0000 0.0000 2.0815 3.6053 0.0000 2.0815 1.2018 7.6736" Properties=species:S:1:pos:R:3 pbc="T T T"
La 2.0815 1.2018 1.6045
La 6.2445 3.6053 6.0690
Cl 0.0000 0.0000 0.0000
Tl 4.1630 2.4035 3.8368
```

Properties
Crystal system: trigonal
Final energy (eV/atom): -4.827
Symmetry: No. 166
Relative energy among the computed polymorphs (meV per atom): 0
Density of states at the Fermi level (states/eV/atom): 0.68



6.
HoMg2 | GGA-PBEsol | optimized geometry

Structure (extended XYZ):
```
12
Lattice="5.9773 0.0000 0.0000 -2.9886 5.1765 0.0000 0.0000 0.0000 9.6631" Properties=species:S:1:pos:R:3 pbc="T T T"
Mg 0.0000 0.0000 0.0000
Mg -1.4542 4.2905 2.4158
Mg 1.5345 0.8859 7.2473
Mg 0.0000 1.7719 2.4158
Mg 0.0000 0.0000 4.8315
Ho 2.9886 1.7255 0.6176
Mg 2.9886 3.4046 7.2473
Mg 4.4428 0.8859 7.2473
Ho 0.0000 3.4510 5.4492
Mg 1.4542 4.2905 2.4158
Ho 0.0000 3.4510 9.0454
Ho 2.9886 1.7255 4.2139
```

Properties
Crystal system: hexagonal
Final energy (eV/atom): -2.843
Symmetry: No. 194
Formation enthalpy at 0 K (meV per atom): -48
Density of states at the Fermi level (states/eV/atom): 1.05



7.
Te2WBrN | GGA-PBEsol | optimized geometry

Structure (extended XYZ):
```
5
Lattice="3.8101 0.0000 0.0000 0.0000 5.3903 0.0000 0.0000 0.0000 5.3903" Properties=species:S:1:pos:R:3 pbc="T T T"
N 1.9050 0.0000 0.0000
Te 0.0000 2.6952 0.0000
Te 0.0000 0.0000 2.6952
Br 1.9050 2.6952 2.6952
W 0.0000 0.0000 0.0000
```

Properties
Crystal system: tetragonal
Final energy (eV/atom): -5.995
Symmetry: No. 123
Density of states at the Fermi level (states/eV/atom): 0.83



8.
ZrCrAgS4 | GGA-PBEsol | optimized geometry

Structure (extended XYZ):
```
14
Lattice="-2.0476 -6.9612 -0.2478 2.5173 3.2174 -6.0020 5.0991 -5.1021 -0.8243" Properties=species:S:1:pos:R:3 pbc="T T T"
S 1.1591 -3.8777 -1.8539
Ag 6.1886 -3.5057 -5.9626
Cr 2.7844 -4.4229 -3.5371
S 3.6266 -8.2277 -5.3654
Zr 3.8082 -0.9424 -3.4132
S 1.9422 -0.6182 -1.7088
S 1.3948 -5.7524 -4.9770
Zr 0.2348 -1.8719 -3.1249
S 3.4021 -6.4376 -2.3769
Ag -0.6198 -5.3402 -1.1115
Cr 2.5496 -2.5511 -0.4122
S 4.4097 -4.9682 -5.2202
S 2.1668 -2.4083 -4.6972
S 4.1740 -3.0934 -2.0971
```

Properties
Crystal system: orthorhombic
Final energy (eV/atom): -6.674
Symmetry: No. 74
Relative energy among the computed polymorphs (meV per atom): 0
Density of states at the Fermi level (states/eV/atom): 0.11



9.
LiMgPb2 | GGA-PBEsol | optimized geometry

Structure (extended XYZ):
```
4
Lattice="3.5599 0.0000 0.0000 0.0000 4.5334 0.0000 0.0000 0.0000 6.1349" Properties=species:S:1:pos:R:3 pbc="T T T"
Pb 0.0000 0.0000 6.0418
Mg 1.7800 2.2667 4.6429
Pb 1.7800 2.2667 1.6434
Li 0.0000 0.0000 3.0092
```

Properties
Crystal system: orthorhombic
Final energy (eV/atom): -3.042
Symmetry: No. 25
Formation enthalpy at 0 K (meV per atom): -122
Density of states at the Fermi level (states/eV/atom): 0.34



10.
InMo2As | GGA-PBEsol | optimized geometry

Structure (extended XYZ):
```
4
Lattice="3.0344 0.0000 -0.0114 0.0000 4.5664 0.0000 -1.5015 0.0000 4.9793" Properties=species:S:1:pos:R:3 pbc="T T T"
Mo 1.3382 2.2832 1.2774
Mo 2.8407 0.0000 0.2273
As 1.3324 0.0000 2.2928
In -0.1776 2.2832 3.6429
```

Properties
Crystal system: monoclinic
Final energy (eV/atom): -7.674
Symmetry: No. 6
Relative energy among the computed polymorphs (meV per atom): 30
Formation enthalpy at 0 K (meV per atom): 232
Density of states at the Fermi level (states/eV/atom): 0.67



11.
TcHg2Sb | GGA-PBEsol | optimized geometry

Structure (extended XYZ):
```
4
Lattice="-0.4382 2.5916 1.4588 -2.0328 0.8153 -2.0590 -6.6606 -3.9479 5.0126" Properties=species:S:1:pos:R:3 pbc="T T T"
Hg -1.9413 -1.1507 1.4610
Hg -4.7193 -2.7972 3.5516
Tc -4.5658 -0.2705 2.2062
Sb -1.2355 1.7034 -0.3001
```

Properties
Crystal system: tetragonal
Final energy (eV/atom): -3.676
Symmetry: No. 123
Density of states at the Fermi level (states/eV/atom): 0.85



12.
Sc5Ag | GGA-PBEsol | optimized geometry

Structure (extended XYZ):
```
6
Lattice="3.3185 0.0000 0.0000 -1.6593 5.5894 -0.0426 0.0000 -2.2598 7.0841" Properties=species:S:1:pos:R:3 pbc="T T T"
Ag 0.0000 -0.0317 0.1503
Sc 0.0000 3.7226 1.7537
Sc 0.0000 2.3641 4.9407
Sc 0.0000 -0.6384 4.1604
Sc 1.6593 0.0322 6.5885
Sc 1.6593 1.1902 2.3786
```

Properties
Crystal system: monoclinic
Final energy (eV/atom): -6.105
Symmetry: No. 8
Relative energy among the computed polymorphs (meV per atom): 0
Formation enthalpy at 0 K (meV per atom): -49
Density of states at the Fermi level (states/eV/atom): 1.42



13.
TeMoBr2 | GGA-PBEsol | optimized geometry

Structure (extended XYZ):
```
4
Lattice="-0.1325 -4.9492 -0.1345 0.5648 -2.3762 -4.3087 4.1426 -2.5649 -0.8891" Properties=species:S:1:pos:R:3 pbc="T T T"
Br 0.0000 0.0000 0.0000
Mo 2.2874 -4.9452 -2.6662
Br 3.4312 -7.4178 -3.9993
Te 1.1437 -2.4726 -1.3331
```

Properties
Crystal system: cubic
Final energy (eV/atom): -4.213
Symmetry: No. 216
Relative energy among the computed polymorphs (meV per atom): 452
Density of states at the Fermi level (states/eV/atom): 0.34



14.
BaNaRu2N | GGA-PBEsol | optimized geometry

Structure (extended XYZ):
```
5
Lattice="-0.7019 3.9063 -0.7568 -1.6198 -0.9824 -3.5687 -4.7721 -0.4157 2.2804" Properties=species:S:1:pos:R:3 pbc="T T T"
Ru -0.8099 -0.4912 -1.7844
N 0.0000 0.0000 0.0000
Ru -0.3509 1.9532 -0.3784
Ba -2.3861 -0.2078 1.1402
Na -3.5469 1.2541 -1.0225
```

Properties
Crystal system: tetragonal
Final energy (eV/atom): -6.149
Symmetry: No. 123
Density of states at the Fermi level (states/eV/atom): 0.92



15.
InCoIr2 | GGA-PBEsol | optimized geometry

Structure (extended XYZ):
```
4
Lattice="-2.1422 -1.6938 -1.3370 3.0400 -1.7947 -2.5974 0.6578 -3.1666 2.9578" Properties=species:S:1:pos:R:3 pbc="T T T"
Ir 1.5200 -0.8973 -1.2987
Ir 0.3289 -1.5833 1.4789
Co 0.7778 -3.3275 -0.4883
In -1.0711 -0.8469 -0.6685
```

Properties
Crystal system: tetragonal
Final energy (eV/atom): -7.335
Symmetry: No. 123
Formation enthalpy at 0 K (meV per atom): 257
Density of states at the Fermi level (states/eV/atom): 1.68



16.
RuC | GGA-PBEsol | optimized geometry

Structure (extended XYZ):
```
6
Lattice="-2.4725 1.1139 1.3123 1.5003 -1.6886 4.2600 1.2510 4.4381 -1.4103" Properties=species:S:1:pos:R:3 pbc="T T T"
C 0.7502 -0.8443 2.1300
C 0.6255 2.2190 -0.7051
Ru 0.0000 0.0000 0.0000
Ru 0.0978 2.9528 1.1360
C 1.3756 1.3747 1.4249
Ru 0.1810 0.9106 3.0261
```

Properties
Crystal system: hexagonal
Final energy (eV/atom): -8.684
Symmetry: No. 191
Relative energy among the computed polymorphs (meV per atom): 674
Formation enthalpy at 0 K (meV per atom): 1224
Density of states at the Fermi level (states/eV/atom): 0.30



17.
HgGeMo3 | GGA-PBEsol | optimized geometry

Structure (extended XYZ):
```
5
Lattice="-2.2201 1.4366 -4.0882 -1.9535 -4.4321 -0.4966 -3.8680 1.4138 2.5973" Properties=species:S:1:pos:R:3 pbc="T T T"
Mo -1.1100 0.7183 -2.0441
Mo -1.9340 0.7069 1.2986
Mo -0.9767 -2.2160 -0.2483
Ge -4.0207 -0.7908 -0.9938
Hg 0.0000 0.0000 0.0000
```

Properties
Crystal system: cubic
Final energy (eV/atom): -5.484
Symmetry: No. 221
Formation enthalpy at 0 K (meV per atom): 2678
Density of states at the Fermi level (states/eV/atom): 1.75



18.
Cd2SiMo | GGA-PBEsol | optimized geometry

Structure (extended XYZ):
```
4
Lattice="-2.6476 -2.0786 -1.3343 2.3534 -0.7802 -3.4543 1.9210 -2.1205 4.4046" Properties=species:S:1:pos:R:3 pbc="T T T"
Mo -0.0468 -1.6301 -2.2806
Cd 1.5757 -4.8771 -0.4418
Cd -0.4040 -2.8801 0.3753
Si 1.9816 -2.0008 -0.8150
```

Properties
Crystal system: orthorhombic
Final energy (eV/atom): -4.672
Symmetry: No. 44
Density of states at the Fermi level (states/eV/atom): 0.28



19.
KMo2As | GGA-PBEsol | optimized geometry

Structure (extended XYZ):
```
4
Lattice="-0.5542 -1.2950 2.3200 3.0344 -3.5769 -1.2718 4.7788 3.1702 2.4858" Properties=species:S:1:pos:R:3 pbc="T T T"
Mo 1.3597 0.5738 1.6302
Mo 2.8649 1.3013 3.1756
As 3.6295 -0.8509 1.7670
K 1.5172 -1.7884 -0.6359
```

Properties
Crystal system: monoclinic
Final energy (eV/atom): -6.577
Symmetry: No. 10
Formation enthalpy at 0 K (meV per atom): 867
Density of states at the Fermi level (states/eV/atom): 0.82



20.
La2Y | GGA-PBEsol | optimized geometry

Structure (extended XYZ):
```
6
Lattice="-3.2115 2.0218 4.2880 -2.4939 -2.4357 -4.5427 0.3137 -6.2956 3.2033" Properties=species:S:1:pos:R:3 pbc="T T T"
La 0.0000 0.0000 0.0000
Y -2.8939 -1.0379 2.1453
Y -2.4979 -5.6715 0.8033
La 0.1568 -3.1478 1.6017
La -2.7371 -4.1857 3.7469
La -2.6547 -2.5238 -0.7983
```

Properties
Crystal system: hexagonal
Final energy (eV/atom): -5.759
Symmetry: No. 194
Relative energy among the computed polymorphs (meV per atom): 67
Formation enthalpy at 0 K (meV per atom): 79
Density of states at the Fermi level (states/eV/atom): 1.59